[1]
This record from Alexandria describes a relaxed structure of HfGa3. The functional is PBEsol.

a = 3.839 Å, b = 3.839 Å, c = 5.231 Å
α = 111.53°, β = 111.53°, γ = 90.00°
Sites, in units of the cell vectors:
Ga 0.750 0.250 0.500
Ga 0.250 0.750 0.500
Ga 0.500 0.500 0.000
Hf 0.000 0.000 0.000

Results
E (eV per atom): -5.582

---

[2]
This record from Alexandria describes a relaxed structure of ReAs2Au. The functional is PBEsol.

a = 3.822 Å, b = 3.822 Å, c = 5.186 Å
α = 111.62°, β = 111.62°, γ = 90.00°
Sites, in units of the cell vectors:
Au 0.500 0.500 0.000
Re 0.250 0.750 0.500
As 0.750 0.250 0.500
As 0.000 0.000 0.000

Results
E (eV per atom): -6.238
Energy relative to the lowest polymorph listed for this composition (eV/f.u.): 1.046

---

[3]
This record from Alexandria describes a relaxed structure of TaMn2Os. The functional is PBEsol.

a = 2.754 Å, b = 3.522 Å, c = 5.524 Å
α = 90.00°, β = 90.00°, γ = 90.00°
Sites, in units of the cell vectors:
Os 0.500 0.500 0.000
Mn 0.000 0.000 0.235
Mn 0.000 0.000 0.765
Ta 0.500 0.500 0.500

Results
E (eV per atom): -10.975
Energy relative to the lowest polymorph listed for this composition (eV/f.u.): 0.527

---

[4]
This record from Alexandria describes a relaxed structure of Mo2IrRh. The functional is PBEsol.

a = 3.853 Å, b = 3.853 Å, c = 4.732 Å
α = 114.03°, β = 114.03°, γ = 90.00°
Sites, in units of the cell vectors:
Ir 0.500 0.500 0.000
Rh 0.000 0.000 0.000
Mo 0.750 0.250 0.500
Mo 0.250 0.750 0.500

Results
E (eV per atom): -10.640
Energy relative to the lowest polymorph listed for this composition (eV/f.u.): 0.087

---

[5]
This record from Alexandria describes a relaxed structure of LiRe2Ir2. The functional is PBEsol.

a = 3.909 Å, b = 3.909 Å, c = 6.231 Å
α = 108.28°, β = 108.28°, γ = 90.00°
Sites, in units of the cell vectors:
Re 0.750 0.250 0.500
Re 0.250 0.750 0.500
Ir 0.394 0.394 0.787
Ir 0.606 0.606 0.213
Li 0.000 0.000 0.000

Results
E (eV per atom): -9.228

---

[6]
This record from Alexandria describes a relaxed structure of Ac3Y. The functional is PBEsol.

a = 6.150 Å, b = 7.683 Å, c = 7.683 Å
α = 120.00°, β = 90.00°, γ = 90.00°
Sites, in units of the cell vectors:
Ac 0.250 0.662 0.831
Ac 0.750 0.338 0.169
Ac 0.750 0.831 0.662
Ac 0.750 0.831 0.169
Ac 0.250 0.169 0.831
Ac 0.250 0.169 0.338
Y 0.250 0.667 0.333
Y 0.750 0.333 0.667

Results
E (eV per atom): -5.040

---

[7]
This record from Alexandria describes a relaxed structure of LiZnAu2O. The functional is PBEsol.

a = 4.676 Å, b = 4.676 Å, c = 4.905 Å
α = 90.00°, β = 90.00°, γ = 90.00°
Sites, in units of the cell vectors:
Zn 0.000 0.000 0.000
Au 0.500 0.000 0.000
Au 0.000 0.500 0.000
Li 0.000 0.000 0.500
O 0.500 0.500 0.500

Results
Formation energy without anion corrections (meV/atom): 748
E (eV per atom): -2.581

---

[8]
This record from Alexandria describes a relaxed structure of LaNbAg2H. The functional is PBEsol.

a = 5.087 Å, b = 5.087 Å, c = 5.362 Å
α = 90.00°, β = 90.00°, γ = 90.00°
Sites, in units of the cell vectors:
Ag 0.500 0.000 0.000
Ag 0.000 0.500 0.000
Nb 0.000 0.000 0.000
H 0.500 0.500 0.500
La 0.000 0.000 0.500

Results
E (eV per atom): -3.865

---

Quick rundown of volume, same order as above: 16.48 16.16 13.40 14.36 17.07 39.30 21.45 27.75 Å³ per atom
Quick rundown of magnetic moment, same order as above: 0.00 0.01 2.80 0.00 0.00 0.00 1.19 0.00 μB/f.u.